PuRhAu4 | PBE | relaxed

Properties
Total DFT energy (no corrections), eV/atom: -5.92
Magnetic moment, μB/f.u.: 4.9
DFT formation energy, eV/atom: -0.118

Cell: 5.506 5.506 5.506 Å, 60.00 60.00 60.00°
Last column: magnetic moment on the atom in μB.
Sites, in units of the cell vectors:
Au1 0.124 0.625 0.625  -0.01
Au2 0.625 0.625 0.625  -0.01
Au3 0.625 0.124 0.625  -0.01
Au4 0.625 0.625 0.124  -0.01
Rh1 0.000 0.000 0.000  0.60
Pu1 0.250 0.250 0.250  -5.21